Below is a geometry-optimized LiYCoPb structure, with properties calculated at the PBE-GGA level.

Summary:
As for the electronic total energy: -19.99 eV for the cell shown. The density of states at the Fermi level is 0.95 states/eV/atom. Its space-group type is F-43m (216). The value obtained for the energy relative to the elements is -0.80 eV/f.u.

a b c (Å): 4.712 4.712 4.712
angles (deg): 60.00 60.00 60.00
Site moments in Bohr magnetons follow the coordinates.
Fractional positions:
Co (0.250, 0.250, 0.250)  0.75
Y (0.000, 0.000, 0.000)  -0.02
Pb (0.500, 0.500, 0.500)  0.03
Li (0.750, 0.750, 0.750)  -0.01



Below is a geometry-optimized NdTm2TeO8 structure, with properties calculated at the PBE-GGA level.

Summary:
As for the electronic total energy: -86.70 eV for the cell shown. The calculation puts the raw formation energy at -2.5154 eV per atom. The density of states at the Fermi level is 0.34 states/eV/atom. Its space-group type is Cmmm (65).

a b c (Å): 4.975 4.973 6.996
angles (deg): 90.01 90.00 90.54
Site moments in Bohr magnetons follow the coordinates.
Fractional positions:
O (0.186, 0.814, 0.794)  0.02
O (0.186, 0.814, 0.206)  0.02
O (0.720, 0.720, 0.000)  0.05
O (0.324, 0.324, 0.500)  0.26
O (0.814, 0.186, 0.206)  0.02
O (0.676, 0.676, 0.500)  0.26
O (0.814, 0.186, 0.794)  0.02
O (0.280, 0.280, 0.000)  0.05
Tm (0.500, 0.500, 0.761)  -0.01
Tm (0.500, 0.500, 0.239)  -0.01
Nd (0.000, 0.000, 0.500)  0.02
Te (0.000, 0.000, 0.000)  0.00



Below is a geometry-optimized Pu2ZrS4 structure, with properties calculated at the PBE-GGA level.

Summary:
As for the electronic total energy: -130.62 eV for the cell shown. The calculation puts the raw formation energy at -1.6557 eV per atom. The density of states at the Fermi level is 2.42 states/eV/atom. Its space-group type is Pbam (55).

a b c (Å): 3.930 7.170 10.920
angles (deg): 90.00 90.00 90.00
Site moments in Bohr magnetons follow the coordinates.
Fractional positions:
S (0.500, 0.762, 0.553)  -0.05
S (0.500, 0.238, 0.447)  -0.05
S (0.500, 0.262, 0.947)  -0.05
S (0.000, 0.116, 0.721)  -0.09
S (0.000, 0.884, 0.279)  -0.09
S (0.000, 0.616, 0.779)  -0.09
S (0.500, 0.738, 0.053)  -0.05
S (0.000, 0.384, 0.221)  -0.09
Pu (0.500, 0.617, 0.313)  5.33
Pu (0.500, 0.883, 0.813)  5.33
Pu (0.500, 0.383, 0.687)  5.33
Pu (0.500, 0.117, 0.187)  5.33
Zr (0.000, 0.500, 0.000)  0.27
Zr (0.000, 0.000, 0.500)  0.27



Which spin magnetization belongs to each record? In order, 0.77, 0.80, 11.44 μB per formula unit.